Computed, not measured: an optimized crystal structure of Ho2ErBi2Te2 at the PBE-GGA level of DFT.

Lattice parameters (Å, degrees): 5.8370 5.8370 15.1202 90.00 90.00 90.00
Positions (direct):
Ho (0.0000, 0.0000, 0.1139)
Ho (0.0000, 0.0000, 0.8861)
Ho (0.5000, 0.5000, 0.3861)
Ho (0.5000, 0.5000, 0.6139)
Er (0.0000, 0.0000, 0.5000)
Er (0.5000, 0.5000, 0.0000)
Bi (0.0000, 0.5000, 0.0000)
Bi (0.0000, 0.5000, 0.5000)
Bi (0.5000, 0.0000, 0.0000)
Bi (0.5000, 0.0000, 0.5000)
Te (0.0000, 0.0000, 0.3024)
Te (0.0000, 0.0000, 0.6976)
Te (0.5000, 0.5000, 0.1976)
Te (0.5000, 0.5000, 0.8024)

Output
Uncorrected formation energy   -503 meV/atom
Symmetry   No. 139